[1]
VASP calculation (PBE) on a relaxed Na2LiNb2 crystal.

Computed properties:
- E_form (meV/atom) = 911
- density of states at the Fermi level (states/eV per cell) = 7.00
- E above lowest polymorph (meV/atom) = 0
- SG = P4/mbm, No. 127

extended XYZ file:
```
10
Lattice="9.4708 0.0000 0.0000 0.0000 9.4708 0.0000 0.0000 0.0000 2.8346" Properties=species:S:1:pos:R:3 pbc="T T T"
Na 1.8965 2.8388 0.0000
Na 2.8388 7.5742 0.0000
Na 6.6319 1.8965 0.0000
Na 7.5742 6.6319 0.0000
Li 0.0000 0.0000 1.4173
Li 4.7354 4.7354 1.4173
Nb 0.8497 5.5850 1.4173
Nb 3.8857 0.8497 1.4173
Nb 5.5850 8.6211 1.4173
Nb 8.6211 3.8857 1.4173
```

[2]
VASP calculation (PBE) on a relaxed NaLi3Nb4O12 crystal.

Computed properties:
- formation energy without anion corrections (eV per atom) = -2.4423
- density of states at the Fermi level (states/eV per cell) = 0.00
- SG = Im-3, No. 204

extended XYZ file:
```
20
Lattice="-3.8364 3.8364 3.8364 3.8364 -3.8364 3.8364 3.8364 3.8364 -3.8364" Properties=species:S:1:pos:R:3 pbc="T T T"
Na 0.0000 0.0000 0.0000
Li 3.8364 0.0000 0.0000
Li 0.0000 3.8364 0.0000
Li 0.0000 0.0000 3.8364
Nb 1.9182 1.9182 -1.9182
Nb 1.9182 -1.9182 1.9182
Nb -1.9182 1.9182 1.9182
Nb 1.9182 1.9182 1.9182
O 3.8364 2.3909 -1.5341
O 2.3023 0.0000 1.4455
O 5.3705 0.0000 1.4455
O 1.4455 2.3023 0.0000
O 2.3909 -1.5341 3.8364
O 0.0000 1.4455 2.3023
O 3.8364 2.3909 1.5341
O 1.4455 5.3705 0.0000
O 2.3909 1.5341 3.8364
O -1.5341 3.8364 2.3909
O 1.5341 3.8364 2.3909
O 0.0000 1.4455 5.3705
```

[3]
VASP calculation (PBE) on a relaxed Na2LiNbO4 crystal.

Computed properties:
- formation energy without anion corrections (eV per atom) = -2.2175
- density of states at the Fermi level (states/eV per cell) = 0.00
- SG = I-4, No. 82

extended XYZ file:
```
8
Lattice="-2.5862 2.5862 4.4007 2.5862 -2.5862 4.4007 2.5862 2.5862 -4.4007" Properties=species:S:1:pos:R:3 pbc="T T T"
Na 0.0000 0.0000 0.0000
Na 0.0000 2.5862 2.2004
Li 2.5862 0.0000 2.2004
Nb 0.0000 0.0000 4.4007
O 1.2134 -0.9702 3.3359
O 1.6160 1.3728 1.0648
O 1.3728 3.5564 -1.0648
O 0.9702 1.2134 5.4655
```

[4]
VASP calculation (PBE) on a relaxed NaLiNb2O6 crystal.

Computed properties:
- formation energy without anion corrections (eV per atom) = -2.3910
- density of states at the Fermi level (states/eV per cell) = 0.00
- SG = C2/c, No. 15

extended XYZ file:
```
20
Lattice="5.0519 -5.3170 0.0000 5.0519 5.3170 0.0000 -2.5498 0.0000 5.8185" Properties=species:S:1:pos:R:3 pbc="T T T"
Na 3.1395 4.2722 4.3638
Na 4.4144 -4.2722 1.4546
Li 4.4144 3.2986 1.4546
Li 3.1395 -3.2986 4.3638
Nb 1.3403 0.9111 4.7010
Nb 2.6152 -0.9111 1.7918
Nb 4.9388 0.9111 4.0267
Nb 6.2137 -0.9111 1.1174
O -0.3302 0.8846 3.9749
O 1.6166 2.5696 5.3739
O 0.9447 -0.8846 1.0657
O 2.5123 0.4907 3.1694
O 4.6625 2.5696 3.3538
O 3.7872 -0.4907 0.2602
O 3.7667 0.4907 5.5583
O 2.8915 -2.5696 2.4647
O 5.0416 -0.4907 2.6490
O 6.6092 0.8846 4.7528
O 5.9374 -2.5696 0.4446
O 7.8841 -0.8846 1.8436
```

[5]
VASP calculation (PBE) on a relaxed RbNaLi2Nb crystal.

Computed properties:
- E_form (meV/atom) = 1481
- density of states at the Fermi level (states/eV per cell) = 4.93
- SG = P4/mmm, No. 123

extended XYZ file:
```
5
Lattice="5.7551 0.0000 0.0000 0.0000 5.7551 0.0000 0.0000 0.0000 6.2153" Properties=species:S:1:pos:R:3 pbc="T T T"
Rb 0.0000 0.0000 0.0000
Na 2.8776 2.8776 3.1076
Li 0.0000 2.8776 0.0000
Li 2.8776 0.0000 0.0000
Nb 0.0000 0.0000 3.1076
```

[6]
VASP calculation (PBE) on a relaxed Na3Li2NbS6 crystal.

Computed properties:
- formation energy without anion corrections (eV per atom) = -0.8839
- density of states at the Fermi level (states/eV per cell) = 11.67
- SG = C2/m, No. 12

extended XYZ file:
```
12
Lattice="3.1979 -5.5474 0.0000 3.1979 5.5474 0.0000 -2.1388 0.0000 6.6284" Properties=species:S:1:pos:R:3 pbc="T T T"
Na 0.0000 0.0000 0.0000
Na 3.1979 1.8942 0.0000
Na 3.1979 -1.8942 0.0000
Li 2.1285 3.6958 3.3142
Li 2.1285 -3.6958 3.3142
Nb 2.1285 0.0000 3.3142
S 1.1166 1.7593 1.9005
S 0.1068 0.0000 4.7234
S 1.1166 -1.7593 1.9005
S 3.1403 1.7593 4.7279
S 4.1501 0.0000 1.9050
S 3.1403 -1.7593 4.7279
```

Number 1: raw total energy -4.03 eV/atom. Number 2: raw total energy -7.78 eV/atom. Number 3: raw total energy -6.52 eV/atom. Number 4: raw total energy -7.70 eV/atom. Number 5: raw total energy -1.76 eV/atom. Number 6: raw total energy -4.44 eV/atom.